Record 1
DFT (PBE) results for a relaxed structure of Ac6SbAs5.

Its total energy is -5.765 eV per atom. Its density is 7.5 g/cm3. The crystal system is monoclinic. The calculation puts the energy relative to the elements, uncorrected at -1.43 eV per atom. As for the space group: C2/m. The total magnetic moment comes out at 0.000 Bohr magnetons per cell.

abc: 7.9552 7.9595 7.9582
angles: 59.99 80.39 70.51
Fractional coordinates of all 12 atoms:
Sb: 0.0000 0.0000 0.0000
As: 0.5000 0.1650 0.6700
As: 0.5000 0.8350 0.3300
Ac: 0.7460 0.0847 0.3424
Ac: 0.7460 0.4271 0.6576
Ac: 0.2540 0.5729 0.3424
As: 0.5000 0.5000 0.0000
As: 0.0000 0.3332 0.3335
As: 0.0000 0.6668 0.6665
Ac: 0.2550 0.2572 0.0000
Ac: 0.2540 0.9153 0.6576
Ac: 0.7450 0.7428 0.0000

---

Record 2
DFT (PBE) results for a relaxed structure of BeCd2Si.

Its total energy is -2.194 eV per atom. Its density is 5.7 g/cm3. The crystal system is tetragonal. The calculation puts the energy relative to the elements, uncorrected at 0.55 eV per atom. As for the space group: I-42d. The total magnetic moment comes out at 0.000 Bohr magnetons per cell.

abc: 4.1745 4.1745 9.1974
angles: 76.88 76.88 90.00
Fractional coordinates of all 8 atoms:
Si: 0.0000 0.0000 0.0000
Si: 0.7500 0.2500 0.5000
Cd: 0.8750 0.8575 0.7500
Cd: 0.6075 0.1250 0.2500
Cd: 0.3750 0.3925 0.7500
Cd: 0.1425 0.6250 0.2500
Be: 0.5000 0.5000 0.0000
Be: 0.2500 0.7500 0.5000